Record 1
Computed, not measured: LiCa3Hg12 after structural relaxation at the PBE level of DFT.

Summary:
**Magnetization**: 0.00 μB/atom
**SG**: P4/mmm (123)
**ΔE_f**: -31.9 kJ per mole of atoms
**Calculated density**: 10.449 g/cm3
**D(E_F)**: 4.91 states/eV/f.u.
**Total DFT energy (no corrections)**: -0.0386 Ha/atom

Lattice parameters (Å, degrees): 4.6608 4.6608 18.5391 90.00 90.00 90.00
Sites, in units of the cell vectors:
1 Li 0.0000 0.0000 0.0000
2 Ca 0.0000 0.0000 0.2419
3 Ca 0.0000 0.0000 0.5000
4 Ca 0.0000 0.0000 0.7581
5 Hg 0.0000 0.5000 0.1158
6 Hg 0.0000 0.5000 0.3725
7 Hg 0.0000 0.5000 0.6275
8 Hg 0.0000 0.5000 0.8842
9 Hg 0.5000 0.0000 0.1158
10 Hg 0.5000 0.0000 0.3725
11 Hg 0.5000 0.0000 0.6275
12 Hg 0.5000 0.0000 0.8842
13 Hg 0.5000 0.5000 0.0000
14 Hg 0.5000 0.5000 0.2466
15 Hg 0.5000 0.5000 0.5000
16 Hg 0.5000 0.5000 0.7534

Record 2
Computed, not measured: LiCa6Hg2 after structural relaxation at the PBE level of DFT.

Summary:
**Magnetization**: 0.00 μB/atom
**SG**: C2/m (12)
**ΔE_f**: -20.3 kJ per mole of atoms
**Calculated density**: 3.643 g/cm3
**D(E_F)**: 9.29 states/eV/f.u.
**Total DFT energy (no corrections)**: -0.0670 Ha/atom

Lattice parameters (Å, degrees): 6.8584 6.8584 10.2210 122.33 122.33 49.55
Sites, in units of the cell vectors:
1 Li 0.0000 0.0000 0.0000
2 Ca 0.1782 0.1782 0.8531
3 Ca 0.3018 0.3018 0.3537
4 Ca 0.4427 0.4427 0.7736
5 Ca 0.5573 0.5573 0.2264
6 Ca 0.6982 0.6982 0.6463
7 Ca 0.8218 0.8218 0.1469
8 Hg 0.1151 0.1151 0.4708
9 Hg 0.8849 0.8849 0.5292

Record 3
Computed, not measured: LiCa3Hg2 after structural relaxation at the PBE level of DFT.

Summary:
**Magnetization**: 0.00 μB/atom
**SG**: P4/mmm (123)
**Offset from the most stable computed form**: 0.054 eV/f.u.
**ΔE_f**: -37.0 kJ per mole of atoms
**Calculated density**: 5.172 g/cm3
**D(E_F)**: 3.74 states/eV/f.u.
**Total DFT energy (no corrections)**: -0.0663 Ha/atom

Lattice parameters (Å, degrees): 3.8244 3.8244 11.5980 90.00 90.00 90.00
Sites, in units of the cell vectors:
1 Li 0.0000 0.0000 0.0000
2 Ca 0.5000 0.5000 0.1809
3 Ca 0.5000 0.5000 0.5000
4 Ca 0.5000 0.5000 0.8191
5 Hg 0.0000 0.0000 0.3313
6 Hg 0.0000 0.0000 0.6687

Record 4
Computed, not measured: Li3Ca2Hg after structural relaxation at the PBE level of DFT.

Summary:
**Magnetization**: 0.00 μB/atom
**SG**: Pmm2 (25)
**Offset from the most stable computed form**: 0.301 eV/f.u.
**ΔE_f**: -14.6 kJ per mole of atoms
**Calculated density**: 3.088 g/cm3
**D(E_F)**: 3.96 states/eV/f.u.
**Total DFT energy (no corrections)**: -0.0671 Ha/atom

Lattice parameters (Å, degrees): 3.8430 4.8974 8.6154 90.00 90.00 90.00
Sites, in units of the cell vectors:
1 Li 0.0000 0.0000 0.0000
2 Li 0.0000 0.0000 0.3387
3 Li 0.0000 0.5000 0.8292
4 Ca 0.5000 0.0000 0.6464
5 Ca 0.5000 0.5000 0.1914
6 Hg 0.0000 0.5000 0.5028